Record 1
This record from Alexandria via LeMat-Bulk describes an optimized crystal structure of Zr2ScAl. The functional is PBE.

abc: 10.1369 10.1369 10.1369
angles: 18.10 18.10 18.10
Atoms (fractional coordinates):
Zr  0.0000  0.0000  0.0000
Zr  0.1734  0.1734  0.1734
Sc  0.7539  0.7539  0.7539
Al  0.5871  0.5871  0.5871

Results
The calculation puts the energy relative to the elements at -0.082 eV per atom. As for the crystal system: trigonal. Its space group is No. 160. The value obtained for the raw total energy is -6.875 eV per atom.

***

Record 2
This record from Alexandria via LeMat-Bulk describes an optimized crystal structure of AcHo6Th. The functional is PBE.

abc: 5.0662 5.0662 10.1793
angles: 90.00 90.00 90.00
Atoms (fractional coordinates):
Ac  0.0000  0.0000  0.0000
Ho  0.0000  0.5000  0.2602
Ho  0.0000  0.5000  0.7398
Ho  0.5000  0.0000  0.2602
Ho  0.5000  0.0000  0.7398
Ho  0.5000  0.5000  0.0000
Ho  0.5000  0.5000  0.5000
Th  0.0000  0.0000  0.5000

Results
The energy above the lowest structure with this stoichiometry is 0 kJ/mol of formula units. The calculation puts the energy relative to the elements at 0.046 eV per atom. As for the crystal system: tetragonal. Its space group is No. 123. The value obtained for the raw total energy is -4.829 eV per atom.

***

- The highest energy relative to the elements belongs to which entry?
  AcHo6Th

***

- What is the formula in the second record?
  AcHo6Th

***

- raw total energy of number 2 (AcHo6Th)?
  -4.829 eV per atom